(1)
DFT (PBE) results for a relaxed V2SnHS crystal.

Structure (extended XYZ):
```
5
Lattice="4.705 0.000 0.000 0.000 4.705 0.000 0.000 0.000 3.351" Properties=species:S:1:pos:R:3 pbc="T T T"
V 0.000 2.352 0.000
V 2.352 0.000 0.000
Sn 0.000 0.000 1.676
H 2.352 2.352 1.676
S 2.352 2.352 0.000
```

Calculated values
DFT total energy   -5.798 eV/atom
SG   No. 123

(2)
DFT (PBE) results for a relaxed SrHS crystal.

Structure (extended XYZ):
```
6
Lattice="5.010 0.000 0.000 2.133 4.537 0.000 0.002 -0.001 6.002" Properties=species:S:1:pos:R:3 pbc="T T T"
Sr 1.247 0.793 1.503
Sr 5.898 3.743 4.499
H 3.329 2.110 3.246
H 3.816 2.426 2.756
S 1.253 0.794 4.525
S 5.892 3.743 1.477
```

Calculated values
DFT total energy   -4.396 eV/atom
SG   No. 2

(3)
DFT (PBE) results for a relaxed SrHS crystal.

Structure (extended XYZ):
```
6
Lattice="2.137 1.234 7.340 -2.137 1.234 7.340 0.000 -2.468 7.340" Properties=species:S:1:pos:R:3 pbc="T T T"
Sr 0.000 0.000 0.000
Sr 0.000 0.000 3.760
H 0.000 0.000 17.840
H 0.000 0.000 18.617
S 0.000 0.000 9.135
S 0.000 0.000 12.926
```

Calculated values
DFT total energy   -4.386 eV/atom
SG   No. 160

(4)
DFT (PBE) results for a relaxed Sr2H2S crystal.

Structure (extended XYZ):
```
10
Lattice="4.165 0.000 0.000 -2.082 3.607 0.000 0.000 0.000 14.150" Properties=species:S:1:pos:R:3 pbc="T T T"
Sr 0.000 2.405 1.704
Sr 0.000 2.405 5.371
Sr 2.082 1.202 8.779
Sr 2.082 1.202 12.446
H 0.000 2.405 7.889
H 0.000 2.405 13.337
H 2.082 1.202 0.814
H 2.082 1.202 6.261
S 0.000 0.000 3.538
S 0.000 0.000 10.613
```

Calculated values
DFT total energy   -3.979 eV/atom
Excess energy over the best structure of this formula in the dataset   40 meV per atom
SG   No. 194

(5)
DFT (PBE) results for a relaxed SrHS crystal.

Structure (extended XYZ):
```
3
Lattice="-2.064 2.064 3.750 2.064 -2.064 3.750 2.064 2.064 -3.750" Properties=species:S:1:pos:R:3 pbc="T T T"
Sr 0.000 0.000 0.000
H 0.000 0.000 2.588
S 0.000 0.000 4.406
```

Calculated values
DFT total energy   -3.799 eV/atom
SG   No. 107

(6)
DFT (PBE) results for a relaxed Sr2H2S crystal.

Structure (extended XYZ):
```
5
Lattice="4.219 0.000 0.000 -2.110 3.654 0.000 0.000 0.000 6.883" Properties=species:S:1:pos:R:3 pbc="T T T"
Sr 0.000 2.436 1.693
Sr 2.110 1.218 5.190
H 0.000 2.436 6.062
H 2.110 1.218 0.821
S 0.000 0.000 3.441
```

Calculated values
DFT total energy   -4.019 eV/atom
Excess energy over the best structure of this formula in the dataset   0 meV per atom
SG   No. 164

(7)
DFT (PBE) results for a relaxed SrHS crystal.

Structure (extended XYZ):
```
12
Lattice="8.122 0.000 0.000 0.000 4.564 0.000 0.000 0.000 6.076" Properties=species:S:1:pos:R:3 pbc="T T T"
Sr 0.968 1.141 1.448
Sr 3.093 3.423 4.486
Sr 5.029 1.141 1.590
Sr 7.155 3.423 4.628
H 0.939 3.423 0.692
H 3.122 1.141 3.730
H 5.000 3.423 2.346
H 7.184 1.141 5.384
S 1.079 1.141 4.466
S 2.982 3.423 1.428
S 5.141 1.141 4.648
S 7.043 3.423 1.610
```

Calculated values
DFT total energy   -4.004 eV/atom
SG   No. 62

(8)
DFT (PBE) results for a relaxed Sr7H12S crystal.

Structure (extended XYZ):
```
20
Lattice="8.033 4.638 1.892 -8.033 4.638 1.892 0.000 -9.275 1.892" Properties=species:S:1:pos:R:3 pbc="T T T"
Sr 0.000 0.000 0.000
Sr -3.060 -0.651 1.637
Sr 2.093 -2.324 1.637
Sr 0.966 2.975 1.637
Sr -0.966 -2.975 4.038
Sr -2.093 2.324 4.038
Sr 3.060 0.651 4.038
H -0.109 -2.473 0.588
H -2.087 1.330 0.588
H -2.849 -2.915 2.549
H 2.196 1.143 0.588
H -3.949 1.010 3.126
H 1.100 -3.925 3.126
H -1.100 3.925 2.549
H 3.949 -1.010 2.549
H -2.196 -1.143 5.087
H 2.849 2.915 3.126
H 2.087 -1.330 5.087
H 0.109 2.473 5.087
S 0.000 0.000 2.837
```

Calculated values
DFT total energy   -3.328 eV/atom
SG   No. 148

Repeat the second record exactly.
DFT (PBE) results for a relaxed SrHS crystal.

Structure (extended XYZ):
```
6
Lattice="5.010 0.000 0.000 2.133 4.537 0.000 0.002 -0.001 6.002" Properties=species:S:1:pos:R:3 pbc="T T T"
Sr 1.247 0.793 1.503
Sr 5.898 3.743 4.499
H 3.329 2.110 3.246
H 3.816 2.426 2.756
S 1.253 0.794 4.525
S 5.892 3.743 1.477
```

Calculated values
DFT total energy   -4.396 eV/atom
SG   No. 2

DFT total energy of number 7 (SrHS)? -4.004 eV/atom